[1]
Compound: Fe3Ag
Source: the Alexandria database
Functional: PBE
Structure: relaxed

Cell lengths 2.875, 2.875, 6.526 Å; angles 90.00, 90.00, 90.00 degrees
Fractional positions:
Fe: 0.000 0.000 0.000
Fe: 0.500 0.500 0.212
Fe: 0.500 0.500 0.788
Ag: 0.000 0.000 0.500

Properties
Magnetic moment: 8.0 μB per formula unit
ΔH_f (0 K): 257 meV per atom

***

[2]
Compound: Na3Np2RhS6
Source: the Alexandria database
Functional: PBE
Structure: relaxed

Cell lengths 6.584, 6.584, 7.117 Å; angles 98.86, 98.86, 119.99 degrees
Fractional positions:
Na: 0.000 0.000 0.000
Na: 0.334 0.666 0.000
Na: 0.666 0.334 0.000
Np: 0.167 0.833 0.500
Np: 0.833 0.167 0.500
Rh: 0.500 0.500 0.500
S: 0.110 0.426 0.278
S: 0.258 0.258 0.720
S: 0.426 0.110 0.278
S: 0.574 0.890 0.722
S: 0.742 0.742 0.280
S: 0.890 0.574 0.722

Properties
Electronic total energy: -0.462 Ry/atom
Magnetic moment: 8.0 μB per formula unit

***

[3]
Compound: AlRhPb2
Source: the Alexandria database
Functional: PBE
Structure: relaxed

Cell lengths 5.154, 5.154, 3.370 Å; angles 90.00, 90.00, 103.75 degrees
Fractional positions:
Al: 0.000 0.000 0.000
Rh: 0.500 0.500 0.000
Pb: 0.000 0.500 0.500
Pb: 0.500 0.000 0.500

Properties
Magnetic moment: 0.0 μB per formula unit
ΔH_f (0 K): 254 meV per atom

***

[4]
Compound: NaBeP2O6
Source: the Alexandria database
Functional: PBE
Structure: relaxed

Cell lengths 7.205, 7.205, 5.979 Å; angles 114.42, 114.42, 85.65 degrees
Fractional positions:
Na: 0.249 0.751 0.750
Na: 0.751 0.249 0.250
Be: 0.256 0.744 0.250
Be: 0.744 0.256 0.750
P: 0.175 0.319 0.813
P: 0.319 0.175 0.313
P: 0.681 0.825 0.687
P: 0.825 0.681 0.187
O: 0.060 0.729 0.311
O: 0.196 0.284 0.491
O: 0.246 0.550 0.976
O: 0.271 0.940 0.189
O: 0.284 0.196 0.991
O: 0.450 0.754 0.524
O: 0.550 0.246 0.476
O: 0.716 0.804 0.009
O: 0.729 0.060 0.811
O: 0.754 0.450 0.024
O: 0.804 0.716 0.509
O: 0.940 0.271 0.689

Properties
Electronic total energy: -0.486 Ry/atom
Magnetic moment: 0.5 μB per formula unit

***

Repeat the second record exactly.
Compound: Na3Np2RhS6
Source: the Alexandria database
Functional: PBE
Structure: relaxed

Cell lengths 6.584, 6.584, 7.117 Å; angles 98.86, 98.86, 119.99 degrees
Fractional positions:
Na: 0.000 0.000 0.000
Na: 0.334 0.666 0.000
Na: 0.666 0.334 0.000
Np: 0.167 0.833 0.500
Np: 0.833 0.167 0.500
Rh: 0.500 0.500 0.500
S: 0.110 0.426 0.278
S: 0.258 0.258 0.720
S: 0.426 0.110 0.278
S: 0.574 0.890 0.722
S: 0.742 0.742 0.280
S: 0.890 0.574 0.722

Properties
Electronic total energy: -0.462 Ry/atom
Magnetic moment: 8.0 μB per formula unit

***

Question: Number 4 is which compound?
Answer: NaBeP2O6

***

Question: What is the magnetic moment in the fourth record?
Answer: 0.5 μB per formula unit